Density functional theory data (PBE) for crystalline FeCuS2 at its relaxed geometry.

Properties
Magnetic moment: 2.210 Bohr magnetons per cell
DFT total energy: -5.32 eV per atom

Cell and atoms, written as CIF:
```
data_FeCuS2
_chemical_formula_sum 'Fe3 Cu3 S6'
_cell_length_a 3.4179
_cell_length_b 3.4179
_cell_length_c 17.4801
_cell_angle_alpha 90.00
_cell_angle_beta 90.00
_cell_angle_gamma 120.00
_space_group_name_H-M_alt 'R 3 m'
_space_group_IT_number 160
_space_group_name_Hall 'R 3 -2"'
loop_
_atom_site_label
_atom_site_type_symbol
_atom_site_fract_x
_atom_site_fract_y
_atom_site_fract_z
Fe1 Fe 0.0000 0.0000 0.0000
Cu1 Cu 0.0000 0.0000 0.8547
S1 S 0.0000 0.0000 0.2622
S2 S 0.0000 0.0000 0.7300
```